The following is a PBE-GGA calculation of a geometry-optimized FeGe2H structure, from the Alexandria database.

Results
**Crystal system**: tetragonal
**DOS at the Fermi energy**: 5.08 states/eV per cell
**Magnetic moment**: 0.53 μB/atom
**Final energy**: -0.1698 Ha/atom

a b c (Å): 6.852 6.852 6.852
angles (deg): 142.28 142.28 54.40
Sites, in units of the cell vectors:
Fe1 0.000 0.000 0.000
Fe2 0.750 0.250 0.500
Ge1 0.203 0.625 0.078
Ge2 0.375 0.453 0.578
Ge3 0.547 0.125 0.922
Ge4 0.875 0.797 0.422
H1 0.250 0.750 0.500
H2 0.500 0.500 0.000